Entry 1:
LaHgAuI2, optimized geometry, DFT PBE; energy relative to the elements, uncorrected = -0.2355 eV/atom; V = 49.8 Å³ per atom; DFT total energy = -2.56 eV/atom
1.0
6.1477 0.0000 0.0000
0.0000 6.5938 0.0000
0.0000 0.0000 6.1477
I Au Hg La
2 1 1 1
Cartesian
0.0000 0.0000 3.0739
3.0739 0.0000 0.0000
3.0739 3.2969 3.0739
0.0000 3.2969 0.0000
0.0000 0.0000 0.0000

***

Entry 2:
Mn2TlAs, optimized geometry, DFT PBE; ΔE to the lowest computed polymorph = 190 meV per atom; energy of formation = 389 meV per atom; V = 18.6 Å³ per atom; DFT total energy = -5.95 eV/atom
1.0
8.9387 -0.0084 -0.0050
8.3920 3.0780 -0.0050
8.3920 1.4864 2.6953
As Mn Tl
1 2 1
Cartesian
18.7671 3.3240 1.9592
0.0955 0.0169 0.0100
6.7837 1.2015 0.7082
12.9379 2.2915 1.3507

***

Entry 3:
TcTeSe2, optimized geometry, DFT PBE; energy relative to the elements, uncorrected = 0.3209 eV/atom; V = 23.1 Å³ per atom; DFT total energy = -4.80 eV/atom
1.0
-2.7664 11.0347 -3.8644
-0.2679 -10.8767 5.0967
1.7269 1.8394 4.0162
Te Tc Se
2 2 4
Cartesian
-0.6270 -3.4817 3.2645
-0.6805 5.4791 1.9840
0.0556 -9.4682 5.7128
-1.3631 11.4656 -0.4643
-0.2099 -7.1398 4.7605
-1.0976 9.1371 0.4880
-2.1848 10.1798 -2.3226
0.8773 -8.1824 7.5712

***

Entry 4:
Th2Zn5Ga3, optimized geometry, DFT PBE; ΔE to the lowest computed polymorph = 0 meV per atom; energy of formation = -404 meV per atom; V = 19.0 Å³ per atom; DFT total energy = -3.43 eV/atom
1.0
5.6182 0.0000 2.1255
2.3984 7.9128 2.1483
-0.0207 -0.0738 8.5424
Th Zn Ga
4 10 6
Cartesian
2.2077 4.9791 2.6524
3.7846 0.9113 6.9719
5.7882 2.8599 10.1638
4.2113 6.9276 5.8443
2.6951 2.0364 1.3641
4.8886 0.0043 4.0538
5.3008 5.8026 11.4521
3.1073 7.8347 8.7624
4.6159 5.8224 9.0187
3.3800 2.0166 3.7975
5.4025 3.9195 6.9395
2.5934 3.9195 5.8767
6.1891 2.0166 4.8603
1.8068 5.8224 7.9559
3.2603 3.7674 8.3579
6.7464 6.0027 7.6311
4.7356 4.0715 4.4583
1.2495 1.8363 5.1851
1.4045 0.0000 0.5314
4.2136 0.0000 1.5941